No. 1
## SiSeI2 (PBE)

Data for a relaxed SiSeI2 crystal.

Cell and atoms, written as POSCAR:
```
SiSeI2
1.0
0.0000 3.7474 3.7474
3.7474 0.0000 3.7474
3.7474 3.7474 0.0000
I Se Si
2 1 1
Direct
0.7500 0.7500 0.7500
0.2500 0.2500 0.2500
0.5000 0.5000 0.5000
0.0000 0.0000 0.0000
```

Properties
The value obtained for the energy above the most stable polymorph in this dataset is 145 meV per atom. As for the uncorrected formation energy: 0.708 eV/atom. The value obtained for the total magnetization is 0.000 μB/atom. For the density of states at the Fermi level, the calculation gives 8.1 states/eV/cell.

=====

No. 2
## PaCoSe3 (PBE)

Data for a relaxed PaCoSe3 crystal.

Cell and atoms, written as POSCAR:
```
PaCoSe3
1.0
4.4418 0.0000 0.0000
0.0000 6.0805 0.0000
0.0000 -3.0402 9.1520
Co Se Pa
2 6 2
Direct
0.2500 0.6839 0.1777
0.7500 0.5062 0.8223
0.7500 0.8980 0.7966
0.7500 0.2632 0.5715
0.7500 0.6149 0.0993
0.2500 0.5156 0.9007
0.2500 0.6917 0.4285
0.2500 0.1015 0.2034
0.2500 0.0901 0.6970
0.7500 0.3931 0.3030
```

Properties
As for the uncorrected formation energy: -0.758 eV/atom. The value obtained for the total magnetization is 0.187 μB/atom. For the density of states at the Fermi level, the calculation gives 5.5 states/eV/cell.

=====

No. 3
## Tm3TeS (PBE)

Data for a relaxed Tm3TeS crystal.

Cell and atoms, written as POSCAR:
```
Tm3TeS
1.0
-5.8894 1.2622 2.2916
-5.5512 -4.9772 1.4367
-1.6132 -0.0165 7.7415
Te Tm S
2 6 2
Direct
0.6956 0.8438 0.7605
0.4713 0.5317 0.3728
0.9714 0.5903 0.2926
0.0744 0.0380 0.3906
0.9517 0.3678 0.9590
0.3287 0.6812 0.7746
0.4536 0.1228 0.4675
0.5833 0.1649 0.9757
0.8821 0.3361 0.6458
0.9710 0.9731 0.1217
```

Properties
The value obtained for the energy above the most stable polymorph in this dataset is 0 meV per atom. As for the uncorrected formation energy: -1.050 eV/atom. The value obtained for the total magnetization is 0.000 μB/atom. For the density of states at the Fermi level, the calculation gives 6.0 states/eV/cell.

=====

No. 4
## LaTb12Y6 (PBE)

Data for a relaxed LaTb12Y6 crystal.

Cell and atoms, written as POSCAR:
```
LaTb12Y6
1.0
9.0149 -0.5347 -2.6601
-3.4113 8.3616 -2.6601
-0.3828 -0.5347 9.3913
Tb Y La
12 6 1
Direct
0.3760 0.1671 0.3760
0.6240 0.8329 0.6240
0.5000 0.8919 0.1081
0.8919 0.5000 0.1081
0.1081 0.5000 0.8919
0.1671 0.3760 0.3760
0.8329 0.6240 0.6240
0.6240 0.6240 0.8329
0.5000 0.1081 0.8919
0.1081 0.8919 0.5000
0.3760 0.3760 0.1671
0.8919 0.1081 0.5000
0.7557 0.3221 0.3221
0.6779 0.2443 0.6779
0.3221 0.7557 0.3221
0.2443 0.6779 0.6779
0.6779 0.6779 0.2443
0.3221 0.3221 0.7557
0.0000 0.0000 0.0000
```

Properties
The value obtained for the energy relative to the elements is 0.430 eV/atom. The value obtained for the total magnetization is 0.000 μB/atom. For the density of states at the Fermi level, the calculation gives 26.6 states/eV/cell.

=====

No. 5
## InReW (PBE)

Data for a relaxed InReW crystal.

Cell and atoms, written as POSCAR:
```
InReW
1.0
-1.0408 -1.5448 5.5050
-0.5713 -5.0396 2.8373
2.9792 3.2743 -3.7653
W In Re
1 1 1
Direct
0.3143 0.3143 0.0000
0.0021 0.0021 0.0000
0.6836 0.6836 0.0000
```

Properties
The value obtained for the energy above the most stable polymorph in this dataset is 0 meV per atom. The value obtained for the energy relative to the elements is 0.354 eV/atom. The value obtained for the total magnetization is 0.000 μB/atom. For the density of states at the Fermi level, the calculation gives 1.0 states/eV/cell.

=====

No. 6
## CaInMo2 (PBE)

Data for a relaxed CaInMo2 crystal.

Cell and atoms, written as POSCAR:
```
CaInMo2
1.0
5.5702 -0.0059 0.0000
2.6018 4.9252 0.0000
-4.0860 -2.4596 2.8779
Ca Mo In
1 2 1
Direct
0.2500 0.7500 0.5000
0.5000 0.5000 0.0000
0.0000 0.0000 0.0000
0.7500 0.2500 0.5000
```

Properties
The value obtained for the energy relative to the elements is 0.612 eV/atom. The value obtained for the total magnetization is 0.000 μB/atom. For the density of states at the Fermi level, the calculation gives 3.9 states/eV/cell.

=====

No. 7
## LaY2NpO8 (PBE)

Data for a relaxed LaY2NpO8 crystal.

Cell and atoms, written as POSCAR:
```
LaY2NpO8
1.0
-3.7932 0.2316 1.1280
-1.1614 -0.0990 -5.3173
-0.3928 -7.5346 0.2262
O La Y Np
8 1 2 1
Direct
0.4930 0.7386 0.5000
0.5481 0.7765 0.0000
0.9697 0.2400 0.7857
0.5070 0.2614 0.5000
0.4519 0.2235 0.0000
0.9697 0.2400 0.2143
0.0303 0.7600 0.2143
0.0303 0.7600 0.7857
0.0000 0.0000 0.5000
0.5000 0.5000 0.2558
0.5000 0.5000 0.7442
0.0000 0.0000 0.0000
```

Properties
As for the uncorrected formation energy: -3.171 eV/atom. The value obtained for the total magnetization is 0.000 μB/atom. For the density of states at the Fermi level, the calculation gives 1.0 states/eV/cell.

=====

No. 8
## Ti3Co5Ni (PBE)

Data for a relaxed Ti3Co5Ni crystal.

Cell and atoms, written as POSCAR:
```
Ti3Co5Ni
1.0
6.7977 0.0000 0.0000
0.0000 6.7977 0.0000
-3.3989 -3.3989 5.0390
Ni Co Ti
2 10 6
Direct
0.7500 0.2500 0.5000
0.2500 0.7500 0.5000
0.3386 0.8386 0.2716
0.6614 0.1614 0.7284
0.0000 0.0000 0.0000
0.5000 0.5000 0.0000
0.8386 0.9330 0.2716
0.0670 0.5670 0.7284
0.4330 0.3386 0.2716
0.9330 0.4330 0.2716
0.1614 0.0670 0.7284
0.5670 0.6614 0.7284
0.6255 0.1255 0.0000
0.8745 0.6255 0.0000
0.2500 0.2500 0.5000
0.7500 0.7500 0.5000
0.1255 0.3745 0.0000
0.3745 0.8745 0.0000
```

Properties
The value obtained for the energy relative to the elements is 0.128 eV/atom. The value obtained for the total magnetization is 0.166 μB/atom. For the density of states at the Fermi level, the calculation gives 23.2 states/eV/cell.

=====

No. 9
## Er4PdRu2Au (PBE)

Data for a relaxed Er4PdRu2Au crystal.

Cell and atoms, written as POSCAR:
```
Er4PdRu2Au
1.0
-3.9581 2.6212 -1.0643
-4.2797 -1.1269 2.0210
-1.1556 5.3700 6.4031
Ru Er Pd Au
2 4 1 1
Direct
0.7502 0.7502 0.7493
0.2498 0.2498 0.2507
0.3765 0.3765 0.8704
0.8738 0.8738 0.3787
0.1262 0.1262 0.6213
0.6235 0.6235 0.1296
0.5000 0.5000 0.5000
0.0000 0.0000 0.0000
```

Properties
The value obtained for the energy relative to the elements is -0.664 eV/atom. The value obtained for the total magnetization is 0.000 μB/atom. For the density of states at the Fermi level, the calculation gives 4.3 states/eV/cell.

=====

No. 10
## RbScPdF6 (PBE)

Data for a relaxed RbScPdF6 crystal.

Cell and atoms, written as POSCAR:
```
RbScPdF6
1.0
-3.2629 4.3674 -2.8912
-5.5292 -0.5894 -1.1789
-1.5588 2.6666 5.0348
F Pd Sc Rb
6 1 1 1
Direct
0.3464 0.0022 0.6615
0.9048 0.4183 0.2517
0.6804 0.4116 0.7448
0.6508 0.0055 0.3411
0.3826 0.6225 0.3498
0.9953 0.6207 0.6500
0.3375 0.3242 0.5006
0.6785 0.6431 0.4997
0.0235 0.9518 0.0007
```

Properties
As for the uncorrected formation energy: -2.749 eV/atom. The value obtained for the total magnetization is 0.007 μB/atom.

=====

No. 11
## Li4YPu3S8 (PBE)

Data for a relaxed Li4YPu3S8 crystal.

Cell and atoms, written as POSCAR:
```
Li4YPu3S8
1.0
7.9091 0.0000 0.0000
0.0000 7.6353 -0.2016
-3.9545 -3.9504 5.5942
Li Y Pu S
4 1 3 8
Direct
0.0000 0.0000 0.0000
0.0000 0.0000 0.5000
0.5000 0.0000 0.5000
0.5000 0.0000 0.0000
0.0000 0.5000 0.0000
0.5000 0.5000 0.0000
0.5000 0.5000 0.5000
0.0000 0.5000 0.5000
0.2501 0.7518 0.0020
0.7494 0.7479 0.4988
0.7499 0.2482 0.9980
0.7499 0.2482 0.4999
0.2506 0.2521 0.5012
0.2481 0.2482 0.9980
0.2501 0.7518 0.5001
0.7519 0.7518 0.0020
```

Properties
As for the uncorrected formation energy: -1.620 eV/atom. The value obtained for the total magnetization is 0.938 μB/atom. For the density of states at the Fermi level, the calculation gives 26.6 states/eV/cell.

=====

No. 12
## CeYPu2P4 (PBE)

Data for a relaxed CeYPu2P4 crystal.

Cell and atoms, written as POSCAR:
```
CeYPu2P4
1.0
4.0362 0.0000 0.0000
0.0000 6.9881 0.1206
0.0000 -2.4408 6.5004
P Pu Y Ce
4 2 1 1
Direct
0.5000 0.7490 0.7437
0.0000 0.2463 0.7435
0.5000 0.2510 0.2563
0.0000 0.7537 0.2565
0.0000 0.5000 0.5000
0.5000 0.0000 0.5000
0.0000 0.0000 0.0000
0.5000 0.5000 0.0000
```

Properties
The value obtained for the energy relative to the elements is -1.361 eV/atom. The value obtained for the total magnetization is 1.335 μB/atom. For the density of states at the Fermi level, the calculation gives 19.8 states/eV/cell.

=====

Copy entry 4 word for word.
## LaTb12Y6 (PBE)

Data for a relaxed LaTb12Y6 crystal.

Cell and atoms, written as POSCAR:
```
LaTb12Y6
1.0
9.0149 -0.5347 -2.6601
-3.4113 8.3616 -2.6601
-0.3828 -0.5347 9.3913
Tb Y La
12 6 1
Direct
0.3760 0.1671 0.3760
0.6240 0.8329 0.6240
0.5000 0.8919 0.1081
0.8919 0.5000 0.1081
0.1081 0.5000 0.8919
0.1671 0.3760 0.3760
0.8329 0.6240 0.6240
0.6240 0.6240 0.8329
0.5000 0.1081 0.8919
0.1081 0.8919 0.5000
0.3760 0.3760 0.1671
0.8919 0.1081 0.5000
0.7557 0.3221 0.3221
0.6779 0.2443 0.6779
0.3221 0.7557 0.3221
0.2443 0.6779 0.6779
0.6779 0.6779 0.2443
0.3221 0.3221 0.7557
0.0000 0.0000 0.0000
```

Properties
The value obtained for the energy relative to the elements is 0.430 eV/atom. The value obtained for the total magnetization is 0.000 μB/atom. For the density of states at the Fermi level, the calculation gives 26.6 states/eV/cell.